Sr2PrGaCu2O7 | Alexandria via LeMat-Bulk | meta-GGA SCAN | single point on PBEsol structure; raw total energy = -417.127 eV per cell; formation energy (no corrections) = -2.33 eV/atom
1.0
-1.1272 2.4877 4.6542
2.1922 -4.2232 2.7883
9.7360 6.0212 -3.9888
O Cu Pr Ga Sr
14 4 2 2 4
direct
0.2059 0.2232 0.3536
0.6835 0.1811 0.8620
0.8645 0.1304 0.5000
0.3215 0.8191 0.1380
0.8174 0.3148 0.1335
0.1835 0.1809 0.8620
0.7059 0.6304 0.3536
0.8215 0.8189 0.1380
0.3522 0.3696 0.6464
0.3645 0.8696 0.5000
0.1840 0.6813 0.8665
0.6840 0.6852 0.8665
0.3174 0.3187 0.1335
0.8522 0.7768 0.6464
0.4255 0.4223 0.8466
0.9255 0.9243 0.8466
0.0789 0.0757 0.1534
0.5789 0.5777 0.1534
0.5015 0.0000 0.0000
0.0015 0.5000 0.0000
0.7136 0.8200 0.5000
0.2136 0.1800 0.5000
0.8468 0.3651 0.6954
0.1515 0.6349 0.3046
0.3468 0.8302 0.6954
0.6515 0.1698 0.3046

***

GaCu2ReO | Alexandria via LeMat-Bulk | meta-GGA SCAN | single point on PBEsol structure; raw total energy = -115.835 eV per cell; formation energy (no corrections) = 1.65 eV/atom
1.0
-1.8153 -2.1784 3.5695
-0.2333 -3.8324 -2.4576
4.4564 -1.2395 1.5099
Cu O Re Ga
2 1 1 1
direct
0.0000 0.5000 0.0000
0.5000 0.0000 0.0000
0.5000 0.5000 0.5000
0.0000 0.0000 0.0000
0.0000 0.0000 0.5000

***

Ga2CuSe3O10 | Alexandria via LeMat-Bulk | meta-GGA SCAN | single point on PBEsol structure; raw total energy = -760.215 eV per cell; formation energy (no corrections) = -1.23 eV/atom
1.0
6.6466 0.0000 0.0000
0.0000 9.6809 0.0000
0.0000 0.0000 13.0821
O Ga Se Cu
40 8 12 4
direct
0.6977 0.9604 0.6330
0.7094 0.3277 0.8948
0.0000 0.5538 0.2286
0.5000 0.8753 0.0146
0.7033 0.3458 0.3596
0.0000 0.4462 0.7714
0.0000 0.1247 0.5146
0.7967 0.3458 0.1404
0.7094 0.6723 0.1052
0.0000 0.1309 0.7381
0.7906 0.3277 0.6052
0.3023 0.0396 0.3670
0.0000 0.1701 0.2986
0.8023 0.0396 0.1330
0.5000 0.5538 0.2714
0.2094 0.6723 0.3948
0.5000 0.8691 0.2381
0.5000 0.1701 0.2014
0.1977 0.9604 0.8670
0.5000 0.1309 0.7619
0.2967 0.6542 0.6404
0.0000 0.8299 0.7014
0.7967 0.6542 0.8596
0.5000 0.1247 0.9854
0.2906 0.3277 0.8948
0.1977 0.0396 0.1330
0.2033 0.6542 0.8596
0.2033 0.3458 0.1404
0.0000 0.8753 0.4854
0.2094 0.3277 0.6052
0.6977 0.0396 0.3670
0.5000 0.8299 0.7986
0.2967 0.3458 0.3596
0.0000 0.8691 0.2619
0.2906 0.6723 0.1052
0.8023 0.9604 0.8670
0.7906 0.6723 0.3948
0.3023 0.9604 0.6330
0.7033 0.6542 0.6404
0.5000 0.4462 0.7286
0.5000 0.0073 0.1232
0.7500 0.7807 0.7500
0.7500 0.2193 0.2500
0.2500 0.7807 0.7500
0.0000 0.0073 0.3768
0.0000 0.9927 0.6232
0.5000 0.9927 0.8768
0.2500 0.2193 0.2500
0.0000 0.3084 0.5298
0.0000 0.0764 0.8651
0.5000 0.5504 0.6179
0.0000 0.9236 0.1349
0.5000 0.4496 0.3821
0.5000 0.9236 0.3651
0.5000 0.6916 0.0298
0.5000 0.0764 0.6349
0.0000 0.4496 0.1179
0.0000 0.5504 0.8821
0.0000 0.6916 0.4702
0.5000 0.3084 0.9702
0.2500 0.3407 0.7500
0.7500 0.3407 0.7500
0.7500 0.6593 0.2500
0.2500 0.6593 0.2500

***

Sr2TbGaCu2O7 | Alexandria via LeMat-Bulk | meta-GGA SCAN | single point on PBEsol structure; raw total energy = -425.075 eV per cell; formation energy (no corrections) = -2.37 eV/atom
1.0
5.3388 0.0000 0.0000
0.0000 5.4370 0.0000
-2.6694 -2.7185 11.4169
Ga O Cu Tb Sr
2 14 4 2 4
direct
0.2900 0.8193 0.5000
0.7900 0.1807 0.5000
0.2991 0.7830 0.6490
0.6501 0.2170 0.3510
0.1440 0.1373 0.5000
0.1873 0.6856 0.8754
0.8110 0.8135 0.1285
0.1825 0.1850 0.8715
0.8119 0.3102 0.1246
0.3110 0.8150 0.1285
0.6873 0.6898 0.8754
0.3119 0.3144 0.1246
0.1501 0.6341 0.3510
0.6825 0.1865 0.8715
0.6440 0.8627 0.5000
0.7991 0.3659 0.6490
0.9256 0.4273 0.8560
0.4256 0.9287 0.8560
0.5696 0.0713 0.1440
0.0696 0.5727 0.1440
0.4981 0.5000 0.0000
0.9981 0.0000 0.0000
0.8496 0.8343 0.6988
0.3496 0.3646 0.6988
0.1508 0.1657 0.3012
0.6508 0.6354 0.3012

***

Sr2TmGaCu2O7 | Alexandria via LeMat-Bulk | meta-GGA SCAN | single point on PBEsol structure; raw total energy = -435.535 eV per cell; formation energy (no corrections) = -2.39 eV/atom
1.0
5.3116 0.0000 0.0000
0.0000 5.4034 0.0000
-2.6558 -2.7017 11.3956
O Cu Ga Sr Tm
14 4 2 4 2
direct
0.2001 0.6860 0.8792
0.8208 0.3068 0.1208
0.7001 0.6932 0.8792
0.3208 0.3140 0.1208
0.3165 0.8150 0.1245
0.8099 0.3642 0.6499
0.6919 0.1904 0.8755
0.1600 0.6358 0.3501
0.3099 0.7857 0.6499
0.8165 0.8096 0.1245
0.6600 0.2143 0.3501
0.6567 0.8596 0.5000
0.1919 0.1850 0.8755
0.1567 0.1404 0.5000
0.5772 0.0695 0.1402
0.9370 0.4293 0.8598
0.4370 0.9305 0.8598
0.0772 0.5707 0.1402
0.3005 0.8191 0.5000
0.8005 0.1809 0.5000
0.3591 0.3641 0.7003
0.1588 0.1639 0.2997
0.6588 0.6359 0.2997
0.8591 0.8361 0.7003
0.0075 0.0000 0.0000
0.5075 0.5000 0.0000

***

VGaCu2O4 | Alexandria via LeMat-Bulk | meta-GGA SCAN | single point on PBEsol structure; raw total energy = -102.539 eV per cell; formation energy (no corrections) = -1.67 eV/atom
1.0
2.9152 0.0000 0.0000
0.0000 5.2475 -0.0097
0.0000 -1.7395 5.7105
O Ga Cu V
4 1 2 1
direct
0.0000 0.8870 0.6792
0.0000 0.1130 0.3208
0.5000 0.3923 0.6776
0.5000 0.6077 0.3224
0.0000 0.5000 0.5000
0.0000 0.0000 0.0000
0.5000 0.5000 0.0000
0.5000 0.0000 0.5000

***

GaCuP2S | Alexandria via LeMat-Bulk | meta-GGA SCAN | single point on PBEsol structure; raw total energy = -57.883 eV per cell; formation energy (no corrections) = 0.82 eV/atom
1.0
-0.0803 0.0226 4.4323
-1.7028 -4.0930 -0.0100
4.2518 -1.7691 0.0861
Ga Cu S P
1 1 1 2
direct
0.5000 0.5000 0.5000
0.0000 0.0000 0.0000
0.0000 0.0000 0.5000
0.5000 0.0000 0.0000
0.0000 0.5000 0.0000

***

Ga3CuPb | Alexandria via LeMat-Bulk | meta-GGA SCAN | single point on PBEsol structure; raw total energy = -134.493 eV per cell; formation energy = 1105 meV per atom
1.0
-1.1184 2.5103 -4.5598
-1.8689 -4.5465 -2.0446
-4.8580 1.1711 1.8363
Ga Pb Cu
3 1 1
direct
0.5000 0.0000 0.0000
0.0000 0.0000 0.5000
0.0000 0.5000 0.0000
0.0000 0.0000 0.0000
0.5000 0.5000 0.5000

***

Ga2Cu2Pd | Alexandria via LeMat-Bulk | meta-GGA SCAN | single point on PBEsol structure; raw total energy = -96.563 eV per cell; formation energy = -139 meV per atom
1.0
3.3179 0.0000 0.0000
0.0000 3.3179 0.0000
-1.6590 -1.6590 6.4053
Ga Cu Pd
2 2 1
direct
0.3984 0.3984 0.7969
0.6016 0.6016 0.2031
0.7500 0.2500 0.5000
0.2500 0.7500 0.5000
0.0000 0.0000 0.0000

***

Ga2CuPd | Alexandria via LeMat-Bulk | meta-GGA SCAN | single point on PBEsol structure; raw total energy = -81.774 eV per cell; formation energy = -277 meV per atom
1.0
4.2779 0.0000 0.0000
2.1389 3.7048 0.0000
2.1389 1.2349 3.4929
Cu Ga Pd
1 2 1
direct
0.0000 0.0000 0.0000
0.7500 0.7500 0.7500
0.2500 0.2500 0.2500
0.5000 0.5000 0.5000

***

GaCuPd3 | Alexandria via LeMat-Bulk | meta-GGA SCAN | single point on PBEsol structure; raw total energy = -126.730 eV per cell; formation energy = 628 meV per atom
1.0
4.4895 0.0000 0.0000
0.0000 4.4895 0.0000
0.0000 0.0000 4.4895
Pd Ga Cu
3 1 1
direct
0.0000 0.5000 0.0000
0.5000 0.0000 0.0000
0.0000 0.0000 0.5000
0.5000 0.5000 0.5000
0.0000 0.0000 0.0000

***

GaCuSnPd2 | Alexandria via LeMat-Bulk | meta-GGA SCAN | single point on PBEsol structure; raw total energy = -129.608 eV per cell; formation energy = 682 meV per atom
1.0
-1.3581 -0.1710 -4.4936
0.3142 -4.9088 0.0919
-4.6991 -0.2740 1.4306
Cu Ga Pd Sn
1 1 2 1
direct
0.5000 0.0000 0.0000
0.5000 0.5000 0.5000
0.0000 0.0000 0.5000
0.0000 0.5000 0.0000
0.0000 0.0000 0.0000

***

Ga3CuPt | Alexandria via LeMat-Bulk | meta-GGA SCAN | single point on PBEsol structure; raw total energy = -134.050 eV per cell; formation energy = 76 meV per atom
1.0
-0.1449 -0.1688 -4.7462
3.3101 -3.4087 0.0201
-3.4056 -3.3059 0.2215
Ga Cu Pt
3 1 1
direct
0.5000 0.0000 0.0000
0.0000 0.0000 0.5000
0.0000 0.5000 0.0000
0.5000 0.5000 0.5000
0.0000 0.0000 0.0000

***

GaCu2Pt2 | Alexandria via LeMat-Bulk | meta-GGA SCAN | single point on PBEsol structure; raw total energy = -186.155 eV per cell; formation energy = 195 meV per atom
1.0
3.6688 0.0000 0.0000
0.0000 3.6688 0.0000
-1.8344 -1.8344 5.8336
Pt Cu Ga
2 2 1
direct
0.2500 0.7500 0.5000
0.7500 0.2500 0.5000
0.4023 0.4023 0.8045
0.5977 0.5977 0.1955
0.0000 0.0000 0.0000

***

YGa2CuPt | Alexandria via LeMat-Bulk | meta-GGA SCAN | single point on PBEsol structure; raw total energy = -147.015 eV per cell; formation energy = -217 meV per atom
1.0
-4.4414 1.4078 -0.4903
-0.3423 -2.4626 -3.9707
-1.6680 -4.2862 2.8021
Ga Pt Y Cu
2 1 1 1
direct
0.0000 0.5000 0.0000
0.5000 0.0000 0.0000
0.0000 0.0000 0.0000
0.0000 0.0000 0.5000
0.5000 0.5000 0.5000

***

ZrGaCu2Pt | Alexandria via LeMat-Bulk | meta-GGA SCAN | single point on PBEsol structure; raw total energy = -142.176 eV per cell; formation energy = 1092 meV per atom
1.0
4.8549 0.0000 0.0000
0.0000 4.8549 0.0000
0.0000 0.0000 4.9073
Zr Cu Pt Ga
1 2 1 1
direct
0.0000 0.0000 0.0000
0.0000 0.5000 0.0000
0.5000 0.0000 0.0000
0.0000 0.0000 0.5000
0.5000 0.5000 0.5000

***

RbGa3Cu | Alexandria via LeMat-Bulk | meta-GGA SCAN | single point on PBEsol structure; raw total energy = -76.213 eV per cell; formation energy = 1753 meV per atom
1.0
-1.7189 4.8958 2.3499
-4.5814 -2.6307 2.1296
2.9157 -1.2474 4.7316
Cu Ga Rb
1 3 1
direct
0.5000 0.5000 0.5000
0.5000 0.0000 0.0000
0.0000 0.0000 0.5000
0.0000 0.5000 0.0000
0.0000 0.0000 0.0000

***

RbGa2Cu2 | Alexandria via LeMat-Bulk | meta-GGA SCAN | single point on PBEsol structure; raw total energy = -83.256 eV per cell; formation energy = 115 meV per atom
1.0
-1.5986 -3.9959 -0.1640
3.1976 -1.3832 2.5321
-4.2038 3.8489 3.7483
Ga Cu Rb
2 2 1
direct
0.7500 0.2500 0.5000
0.2500 0.7500 0.5000
0.3401 0.3401 0.6801
0.6599 0.6599 0.3199
0.0000 0.0000 0.0000

***

GaCu2TcS | Alexandria via LeMat-Bulk | meta-GGA SCAN | single point on PBEsol structure; raw total energy = -84.830 eV per cell; formation energy (no corrections) = 1.32 eV/atom
1.0
4.5577 0.0000 0.0000
0.0000 4.5577 0.0000
0.0000 0.0000 4.7711
Tc Cu Ga S
1 2 1 1
direct
0.0000 0.0000 0.0000
0.5000 0.0000 0.0000
0.0000 0.5000 0.0000
0.0000 0.0000 0.5000
0.5000 0.5000 0.5000

***

GaCuSb3 | Alexandria via LeMat-Bulk | meta-GGA SCAN | single point on PBEsol structure; raw total energy = -140.713 eV per cell; formation energy (no corrections) = 0.52 eV/atom
1.0
5.0449 0.0000 0.0000
0.0000 5.0449 0.0000
0.0000 0.0000 5.0449
Cu Ga Sb
1 1 3
direct
0.0000 0.0000 0.0000
0.5000 0.5000 0.5000
0.0000 0.5000 0.0000
0.5000 0.0000 0.0000
0.0000 0.0000 0.5000